No. 1
# CdSbSe2

Crystalline CdSbSe2 at its relaxed geometry (PBE, the Alexandria database).

As for the space-group type: Immm, No. 71. The total energy is -3.042 eV per atom. For the magnetization, the calculation gives 0.000 μB/atom. The energy above the most stable polymorph in this dataset comes out at 0.227 eV per atom. The calculation puts the formation energy from raw total energies at -0.0404 eV/atom.

a b c (Å): 5.5753 5.5753 5.5753
angles (deg): 137.30 102.88 92.41
With the nearest neighbours (Å) after each atom.
Atoms (fractional coordinates):
Sb  0.2500  0.7500  0.5000  4 Se 2.83
Cd  0.7500  0.2500  0.5000  4 Se 2.77
Se  0.5052  0.5052  0.0000  2 Cd 2.77, 2 Sb 2.83
Se  0.9948  0.9948  0.0000  2 Cd 2.77, 2 Sb 2.83



No. 2
# Ho4Si2Te

Crystalline Ho4Si2Te at its relaxed geometry (PBE, the Alexandria database).

As for the space-group type: Imma, No. 74. The total energy is -5.273 eV per atom. For the magnetization, the calculation gives 0.000 μB/atom. The calculation puts the formation energy from raw total energies at -0.6585 eV/atom.

a b c (Å): 8.6079 8.6079 8.6085
angles (deg): 119.98 119.95 90.06
With the nearest neighbours (Å) after each atom.
Atoms (fractional coordinates):
Ho  0.3948  0.6056  0.7894  3 Si 2.83, 1 Te 3.05
Ho  0.8161  0.6055  0.2106  3 Si 2.82-2.83, 1 Te 3.05
Ho  0.8556  0.5663  0.7107  3 Si 2.83, 1 Te 3.05
Ho  0.3944  0.6052  0.2106  3 Si 2.83, 1 Te 3.05
Ho  0.4339  0.1445  0.2894  3 Si 2.82-2.83, 1 Te 3.05
Ho  0.8556  0.1448  0.2893  3 Si 2.83, 1 Te 3.05
Ho  0.8552  0.1444  0.7106  3 Si 2.83, 1 Te 3.05
Ho  0.3944  0.1837  0.7893  3 Si 2.83, 1 Te 3.05
Te  0.2498  0.7499  0.5000  4 Ho 3.05
Te  0.0002  0.0001  0.0000  4 Ho 3.05
Si  0.1250  0.3750  0.7500  6 Ho 2.83
Si  0.6250  0.8750  0.2500  6 Ho 2.82-2.83
Si  0.6250  0.3750  0.2500  6 Ho 2.83
Si  0.6250  0.3750  0.7500  6 Ho 2.83



No. 3
# KAuSe2

Crystalline KAuSe2 at its relaxed geometry (PBE, the Alexandria database).

As for the space-group type: I-42d, No. 122. The total energy is -3.265 eV per atom. For the magnetization, the calculation gives 0.000 μB/atom. The calculation puts the formation energy from raw total energies at -0.4286 eV/atom.

a b c (Å): 8.0075 8.0075 6.6009
angles (deg): 52.66 52.66 90.00
With the nearest neighbours (Å) after each atom.
Atoms (fractional coordinates):
Au  0.7500  0.2500  0.5000  4 Se 2.56
Au  0.0000  0.0000  0.0000  4 Se 2.56
Se  0.3750  0.2931  0.7500  2 Au 2.56
Se  0.7069  0.1250  0.2500  2 Au 2.56
Se  0.8750  0.9569  0.7500  2 Au 2.56
Se  0.0431  0.6250  0.2500  2 Au 2.56
K  0.2500  0.7500  0.5000  2 Au 3.39, 8 Se 3.43-3.51
K  0.5000  0.5000  0.0000  2 Au 3.39, 8 Se 3.43-3.51



No. 4
# MgSnHSe

Crystalline MgSnHSe at its relaxed geometry (PBE, the Alexandria database).

As for the space-group type: P1, No. 1. The total energy is -3.207 eV per atom. For the magnetization, the calculation gives 0.000 μB/atom. The energy above the most stable polymorph in this dataset comes out at 0.217 eV per atom.

a b c (Å): 3.6580 4.6449 6.2975
angles (deg): 109.78 106.34 90.38
With the nearest neighbours (Å) after each atom.
Atoms (fractional coordinates):
H  0.1897  0.3429  0.5127  1 Se 1.50
Se  0.8420  0.5118  0.5058  1 H 1.50
Mg  0.1769  0.9407  0.9381  1 Se 2.70, 2 Sn 2.97-3.01
Sn  0.7223  0.4830  0.0412  1 Se 2.79, 4 Mg 2.97-3.03



No. 5
# CeNbIr2

Crystalline CeNbIr2 at its relaxed geometry (PBE, the Alexandria database).

As for the formation energy: -0.55 eV per atom. As for the space-group type: P4/mmm, No. 123. The total energy is -8.980 eV per atom. For the magnetization, the calculation gives 0.000 μB/atom. The energy above the most stable polymorph in this dataset comes out at 0.000 eV per atom.

a b c (Å): 3.0683 3.0683 7.7542
angles (deg): 90.00 90.00 90.00
With the nearest neighbours (Å) after each atom.
Atoms (fractional coordinates):
Ir  0.0000  0.0000  0.2175  4 Nb 2.75, 4 Ir 3.07
Ir  0.0000  0.0000  0.7825  4 Nb 2.75, 4 Ir 3.07
Ce  0.5000  0.5000  0.5000  4 Ce 3.07, 8 Ir 3.08
Nb  0.5000  0.5000  0.0000  8 Ir 2.75, 4 Nb 3.07



No. 6
# Si2Sb2I

Crystalline Si2Sb2I at its relaxed geometry (PBE, the Alexandria database).

As for the space-group type: I4/mmm, No. 139. The total energy is -3.899 eV per atom. For the magnetization, the calculation gives 0.000 μB/atom. The energy above the most stable polymorph in this dataset comes out at 0.032 eV per atom. The calculation puts the formation energy from raw total energies at 0.2291 eV/atom.

a b c (Å): 5.1366 5.1366 5.9702
angles (deg): 64.52 64.52 90.00
With the nearest neighbours (Å) after each atom.
Atoms (fractional coordinates):
Si  0.3711  0.3711  0.2579  1 Si 2.44
Si  0.6289  0.6289  0.7421  1 Si 2.44
Sb  0.2500  0.7500  0.5000  4 Si 2.81
Sb  0.7500  0.2500  0.5000  4 Si 2.81
I  0.0000  0.0000  0.0000  8 Sb 3.49, 10 Si 3.52-3.83



No. 7
# Ca2NdS4

Crystalline Ca2NdS4 at its relaxed geometry (PBE, the Alexandria database).

As for the space-group type: Cmcm, No. 63. The total energy is -5.396 eV per atom. For the magnetization, the calculation gives 0.098 μB/atom. The calculation puts the formation energy from raw total energies at -1.7842 eV/atom.

a b c (Å): 4.0244 7.1284 12.4916
angles (deg): 90.00 90.00 106.40
With the nearest neighbours (Å) after each atom.
Atoms (fractional coordinates):
S  0.9709  0.9418  0.7500  2 Ca 2.68, 2 Nd 2.74
S  0.7711  0.5422  0.3652  3 Ca 2.85-2.94, 1 S 2.88, 2 Nd 2.98
S  0.2289  0.4578  0.8652  3 Ca 2.85-2.94, 1 S 2.88, 2 Nd 2.98
S  0.7711  0.5422  0.1348  3 Ca 2.85-2.94, 1 S 2.88, 2 Nd 2.98
S  0.2289  0.4578  0.6348  3 Ca 2.85-2.94, 1 S 2.88, 2 Nd 2.98
S  0.5000  0.0000  0.0000  4 Ca 2.79
S  0.0291  0.0582  0.2500  2 Ca 2.68, 2 Nd 2.74
S  0.5000  0.0000  0.5000  4 Ca 2.79
Nd  0.6073  0.2146  0.7500  6 S 2.74-2.98
Nd  0.3927  0.7854  0.2500  6 S 2.74-2.98
Ca  0.8719  0.7437  0.9348  6 S 2.68-2.94
Ca  0.8719  0.7437  0.5652  6 S 2.68-2.94
Ca  0.1281  0.2563  0.0652  6 S 2.68-2.94
Ca  0.1281  0.2563  0.4348  6 S 2.68-2.94



No. 8
# BaOs3Pd

Crystalline BaOs3Pd at its relaxed geometry (PBE, the Alexandria database).

As for the formation energy: 3.80 eV per atom. As for the space-group type: Pm-3m, No. 221. The total energy is -4.366 eV per atom. For the magnetization, the calculation gives 1.015 μB/atom. The energy above the most stable polymorph in this dataset comes out at 1.745 eV per atom.

a b c (Å): 5.0030 5.0030 5.0030
angles (deg): 90.00 90.00 90.00
With the nearest neighbours (Å) after each atom.
Atoms (fractional coordinates):
Os  0.0000  0.5000  0.0000  2 Ba 2.50
Os  0.5000  0.0000  0.0000  2 Ba 2.50
Os  0.0000  0.0000  0.5000  2 Ba 2.50
Ba  0.0000  0.0000  0.0000  6 Os 2.50
Pd  0.5000  0.5000  0.5000  12 Os 3.54



No. 9
# Ba2AcPdO6

Crystalline Ba2AcPdO6 at its relaxed geometry (PBE, the Alexandria database).

As for the space-group type: P-3m1, No. 164. The total energy is -6.233 eV per atom. For the magnetization, the calculation gives 0.000 μB/atom. The calculation puts the formation energy from raw total energies at -1.9433 eV/atom.

a b c (Å): 6.2457 6.0243 6.0243
angles (deg): 120.00 90.00 90.00
With the nearest neighbours (Å) after each atom.
Atoms (fractional coordinates):
O  0.8007  0.1542  0.8458  1 Pd 2.03
O  0.1993  0.3084  0.1542  1 Pd 2.03
O  0.8007  0.6916  0.8458  1 Pd 2.03
O  0.1993  0.8458  0.6916  1 Pd 2.03
O  0.8007  0.1542  0.3084  1 Pd 2.03
O  0.1993  0.8458  0.1542  1 Pd 2.03
Ac  0.5000  0.0000  0.0000  6 O 2.47
Ba  0.8896  0.6667  0.3333  3 O 2.69
Ba  0.1104  0.3333  0.6667  3 O 2.69
Pd  0.0000  0.0000  0.0000  6 O 2.03



No. 10
# HfTe3H

Crystalline HfTe3H at its relaxed geometry (PBE, the Alexandria database).

As for the space-group type: Pm-3m, No. 221. The total energy is -4.014 eV per atom. For the magnetization, the calculation gives 0.000 μB/atom. The energy above the most stable polymorph in this dataset comes out at 0.258 eV per atom.

a b c (Å): 4.7448 4.7448 4.7448
angles (deg): 90.00 90.00 90.00
With the nearest neighbours (Å) after each atom.
Atoms (fractional coordinates):
Te  0.5000  0.0000  0.0000  2 H 2.37
Te  0.0000  0.0000  0.5000  2 H 2.37
Te  0.0000  0.5000  0.0000  2 H 2.37
Hf  0.5000  0.5000  0.5000  12 Te 3.36
H  0.0000  0.0000  0.0000  6 Te 2.37